Entry 1:
DFT (PBE-GGA) results for a relaxed CaTi2NbO8 crystal.

Output
The value obtained for the uncorrected formation energy is -32.2 eV per formula unit. The calculation puts the size of the total moment at 1.0 μB/cell.

```
CaTi2NbO8
1.0
3.6501 -3.2422 0.0000
3.6501 3.2422 0.0000
-0.6829 0.0000 6.6281
Ca Ti Nb O
1 2 1 8
Direct
0.0000 0.0000 0.0000
0.4552 0.4552 0.7793
0.5448 0.5448 0.2207
0.0000 0.0000 0.5000
0.2102 0.7799 0.7173
0.2201 0.7898 0.2827
0.2756 0.2756 0.5490
0.3268 0.3268 0.9978
0.6732 0.6732 0.0022
0.7244 0.7244 0.4510
0.7799 0.2102 0.7173
0.7898 0.2201 0.2827
```

Entry 2:
DFT (PBE-GGA) results for a relaxed ZnCuPt3 crystal.

Output
For the relative energy among the computed polymorphs, the calculation gives 0.00 eV per formula unit. The calculation puts the size of the total moment at 0.0 μB/cell.

```
ZnCuPt3
1.0
4.6432 0.0000 0.0000
1.2858 4.4630 0.0000
2.3208 -0.0022 7.0875
Zn Cu Pt
2 2 6
Direct
0.1530 0.2491 0.1958
0.8470 0.7509 0.8042
0.3515 0.2498 0.7982
0.6485 0.7502 0.2018
0.0572 0.7498 0.3849
0.2502 0.7493 0.9981
0.4448 0.7502 0.6098
0.5552 0.2498 0.3902
0.7498 0.2507 0.0019
0.9428 0.2502 0.6151
```

Entry 3:
DFT (PBE-GGA) results for a relaxed Ta3C4 crystal.

Output
For the relative energy among the computed polymorphs, the calculation gives 4.28 eV per formula unit. The calculation puts the size of the total moment at 0.0 μB/cell.

```
Ta3C4
1.0
4.8459 0.0000 0.0000
0.0000 4.8459 0.0000
0.0000 0.0000 4.8459
Ta C
3 4
Direct
0.0000 0.0000 0.5000
0.0000 0.5000 0.0000
0.5000 0.0000 0.0000
0.2335 0.2335 0.2335
0.2335 0.7665 0.7665
0.7665 0.2335 0.7665
0.7665 0.7665 0.2335
```

Entry 4:
DFT (PBE-GGA) results for a relaxed SrGaSi2 crystal.

Output
The value obtained for the uncorrected formation energy is -0.3 eV per formula unit. The calculation puts the size of the total moment at 0.0 μB/cell.

```
SrGaSi2
1.0
-2.4204 2.4204 8.7016
2.4204 -2.4204 8.7016
2.4204 2.4204 -8.7016
Sr Ga Si
2 2 4
Direct
0.3750 0.6250 0.7500
0.6250 0.3750 0.2500
0.1250 0.8750 0.2500
0.8750 0.1250 0.7500
0.0000 0.0000 0.0000
0.0000 0.0000 0.5000
0.0000 0.5000 0.0000
0.5000 0.0000 0.5000
```

Entry 5:
DFT (PBE-GGA) results for a relaxed Zn3Ni4Ir2 crystal.

Output
For the total energy, the calculation gives -45.3 eV/cell. The calculation puts the size of the total moment at 0.8 μB/cell.

```
Zn3Ni4Ir2
1.0
5.5099 -1.8400 0.0000
5.5099 1.8400 0.0000
-1.8595 0.0000 5.6303
Zn Ni Ir
3 4 2
Direct
0.0000 0.0000 0.0000
0.1202 0.1202 0.6717
0.8798 0.8798 0.3283
0.2226 0.2226 0.3319
0.3311 0.3311 0.0020
0.6689 0.6689 0.9980
0.7774 0.7774 0.6681
0.4406 0.4406 0.6704
0.5594 0.5594 0.3296
```

Entry 6:
DFT (PBE-GGA) results for a relaxed Ba3LiGa8 crystal.

Output
For the total energy, the calculation gives -35.6 eV/cell. The calculation puts the size of the total moment at 0.0 μB/cell.

```
Ba3LiGa8
1.0
2.9462 1.7010 9.7204
-2.9462 1.7010 9.7204
0.0000 -3.4020 9.7204
Ba Li Ga
3 1 8
Direct
0.0000 0.0000 0.0000
0.1264 0.1264 0.1264
0.6201 0.6201 0.6201
0.4944 0.4944 0.4944
0.0575 0.0575 0.5618
0.0575 0.5618 0.0575
0.0647 0.5638 0.5638
0.3140 0.3140 0.3140
0.5618 0.0575 0.0575
0.5638 0.0647 0.5638
0.5638 0.5638 0.0647
0.8105 0.8105 0.8105
```

Entry 7:
DFT (PBE-GGA) results for a relaxed LiScTa3 crystal.

Output
For the relative energy among the computed polymorphs, the calculation gives 4.47 eV per formula unit. The calculation puts the size of the total moment at 0.0 μB/cell.

```
LiScTa3
1.0
4.8180 0.0000 0.0000
0.0000 4.8180 0.0000
0.0000 0.0000 4.8180
Li Sc Ta
1 1 3
Direct
0.0000 0.0000 0.0000
0.5000 0.5000 0.5000
0.0000 0.5000 0.5000
0.5000 0.0000 0.5000
0.5000 0.5000 0.0000
```

Entry 8:
DFT (PBE-GGA) results for a relaxed Pd7Pt4Rh crystal.

Output
For the relative energy among the computed polymorphs, the calculation gives 4.53 eV per formula unit. The calculation puts the size of the total moment at 1.4 μB/cell.

```
Pd7Pt4Rh
1.0
5.2952 -2.3797 0.0000
5.2952 2.3797 0.0000
-4.8015 0.0000 8.1055
Pd Pt Rh
7 4 1
Direct
0.0000 0.0000 0.0000
0.1407 0.1407 0.5412
0.2921 0.2921 0.0818
0.4276 0.4276 0.6713
0.5724 0.5724 0.3287
0.7079 0.7079 0.9182
0.8593 0.8593 0.4588
0.0754 0.0754 0.7717
0.2269 0.2269 0.3205
0.7731 0.7731 0.6795
0.9246 0.9246 0.2283
0.5000 0.5000 0.0000
```